w:
! B5C7, optimized geometry, DFT PBE-GGA; values from VASP
! Symmetry ... No. 5
&SYSTEM
  ibrav = 0, nat = 12, ntyp = 2
/
ATOMIC_SPECIES
B 10.81 B.upf
C 12.01 C.upf
CELL_PARAMETERS angstrom
4.355 0.148 -0.985
2.886 3.265 -0.985
0.438 0.206 5.348
ATOMIC_POSITIONS crystal
B 0.199 0.728 0.248
B 0.316 0.258 0.145
B 0.605 0.134 0.418
B 0.634 0.699 0.333
B 0.075 0.018 0.522
C 0.978 0.982 0.987
C 0.941 0.454 0.600
C 0.268 0.752 0.766
C 0.351 0.356 0.679
C 0.581 0.065 0.901
C 0.673 0.660 0.833
C 0.879 0.392 0.067

x:
! B5C7, optimized geometry, DFT PBE-GGA; values from VASP
! Symmetry ... No. 21
&SYSTEM
  ibrav = 0, nat = 12, ntyp = 2
/
ATOMIC_SPECIES
B 10.81 B.upf
C 12.01 C.upf
CELL_PARAMETERS angstrom
-5.392 0.525 -2.804
5.670 -2.212 -0.407
-1.131 -3.190 1.578
ATOMIC_POSITIONS crystal
B 0.166 0.834 0.500
B 0.500 0.500 0.500
B 0.333 0.667 0.000
B 0.834 0.166 0.500
B 0.667 0.333 0.000
C 0.833 0.681 0.237
C 0.167 0.319 0.237
C 0.000 0.500 0.752
C 0.500 0.000 0.248
C 0.319 0.167 0.763
C 0.000 0.000 0.000
C 0.681 0.833 0.763

Which of them is most stable, and which least? Most stable: w; least stable: x.

w:
! CePuBi, optimized geometry, DFT PBE-GGA; values from VASP
! Symmetry ... No. 51
&SYSTEM
  ibrav = 0, nat = 6, ntyp = 3
/
ATOMIC_SPECIES
Bi 208.98 Bi.upf
Pu 244.00 Pu.upf
Ce 140.12 Ce.upf
CELL_PARAMETERS angstrom
-0.751 1.234 -3.140
-0.575 -5.503 -2.025
-8.219 0.118 2.011
ATOMIC_POSITIONS crystal
Bi 0.500 0.750 0.701
Bi 0.500 0.250 0.299
Pu 0.000 0.250 0.639
Pu 0.000 0.750 0.361
Ce 0.000 0.000 0.000
Ce 0.000 0.500 0.000

x:
! CePuBi, optimized geometry, DFT PBE-GGA; values from VASP
! Symmetry ... No. 12
&SYSTEM
  ibrav = 0, nat = 6, ntyp = 3
/
ATOMIC_SPECIES
Ce 140.12 Ce.upf
Pu 244.00 Pu.upf
Bi 208.98 Bi.upf
CELL_PARAMETERS angstrom
5.974 0.000 0.000
-2.987 4.600 -0.860
0.000 -0.670 6.494
ATOMIC_POSITIONS crystal
Ce 0.669 0.838 0.263
Ce 0.331 0.162 0.737
Pu 0.955 0.410 0.238
Pu 0.045 0.590 0.762
Bi 0.693 0.885 0.771
Bi 0.307 0.115 0.229

Which of them is most stable, and which least? Most stable: x; least stable: w.

w:
! AlZnTc, optimized geometry, DFT PBE-GGA; values from VASP
! Symmetry ... No. 107
&SYSTEM
  ibrav = 0, nat = 3, ntyp = 3
/
ATOMIC_SPECIES
Zn 65.41 Zn.upf
Tc 98.00 Tc.upf
Al 26.98 Al.upf
CELL_PARAMETERS angstrom
4.919 -0.048 0.000
2.944 3.941 0.000
-3.931 -1.946 2.225
ATOMIC_POSITIONS crystal
Zn 0.671 0.671 0.000
Tc 0.337 0.337 0.000
Al 0.992 0.992 0.000

x:
! AlZnTc, optimized geometry, DFT PBE-GGA; values from VASP
! Symmetry ... No. 189
&SYSTEM
  ibrav = 0, nat = 18, ntyp = 3
/
ATOMIC_SPECIES
Tc 98.00 Tc.upf
Al 26.98 Al.upf
Zn 65.41 Zn.upf
CELL_PARAMETERS angstrom
-0.256 -7.133 -1.855
6.487 3.213 1.409
-0.474 -1.353 5.266
ATOMIC_POSITIONS crystal
Tc 0.000 0.644 0.750
Tc 0.644 0.000 0.750
Tc 0.356 0.356 0.750
Tc 0.644 0.000 0.250
Tc 0.000 0.644 0.250
Tc 0.356 0.356 0.250
Al 0.000 0.000 0.750
Al 0.000 0.000 0.250
Al 0.333 0.667 0.000
Al 0.333 0.667 0.500
Al 0.667 0.333 0.000
Al 0.667 0.333 0.500
Zn 0.000 0.307 0.000
Zn 0.307 0.000 0.000
Zn 0.693 0.693 0.000
Zn 0.000 0.307 0.500
Zn 0.307 0.000 0.500
Zn 0.693 0.693 0.500

Which of them is most stable, and which least? Most stable: x; least stable: w.

w:
! K3Os, optimized geometry, DFT PBE-GGA; values from VASP
! Symmetry ... No. 123
&SYSTEM
  ibrav = 0, nat = 4, ntyp = 2
/
ATOMIC_SPECIES
K 39.10 K.upf
Os 190.23 Os.upf
CELL_PARAMETERS angstrom
3.342 -0.017 0.000
0.014 3.342 0.000
0.000 0.000 13.227
ATOMIC_POSITIONS crystal
K 0.000 0.000 0.072
K 0.500 0.500 0.750
K 0.000 0.000 0.428
Os 0.500 0.500 0.250

x:
! K3Os, optimized geometry, DFT PBE-GGA; values from VASP
! Symmetry ... No. 139
&SYSTEM
  ibrav = 0, nat = 4, ntyp = 2
/
ATOMIC_SPECIES
K 39.10 K.upf
Os 190.23 Os.upf
CELL_PARAMETERS angstrom
-3.697 4.058 -1.981
-3.859 -4.208 -1.207
2.165 0.463 5.400
ATOMIC_POSITIONS crystal
K 0.750 0.250 0.500
K 0.250 0.750 0.500
K 0.500 0.500 0.000
Os 0.000 0.000 0.000

Which of them is most stable, and which least? Most stable: w; least stable: x.

w:
! Ac2Zn3Sn2, optimized geometry, DFT PBE-GGA; values from VASP
! Symmetry ... No. 65
&SYSTEM
  ibrav = 0, nat = 7, ntyp = 3
/
ATOMIC_SPECIES
Ac 227.00 Ac.upf
Zn 65.41 Zn.upf
Sn 118.71 Sn.upf
CELL_PARAMETERS angstrom
-1.551 4.144 1.189
-4.051 -1.179 -1.176
0.186 -2.931 10.453
ATOMIC_POSITIONS crystal
Ac 0.000 0.845 0.691
Ac 0.000 0.155 0.309
Zn 0.500 0.560 0.119
Zn 0.500 0.440 0.881
Zn 0.000 0.000 0.000
Sn 0.500 0.704 0.408
Sn 0.500 0.296 0.592

x:
! Ac2Zn3Sn2, optimized geometry, DFT PBE-GGA; values from VASP
! Symmetry ... No. 12
&SYSTEM
  ibrav = 0, nat = 7, ntyp = 3
/
ATOMIC_SPECIES
Ac 227.00 Ac.upf
Zn 65.41 Zn.upf
Sn 118.71 Sn.upf
CELL_PARAMETERS angstrom
4.524 0.000 0.000
-2.262 6.072 -0.619
0.000 -0.571 6.969
ATOMIC_POSITIONS crystal
Ac 0.844 0.689 0.271
Ac 0.156 0.311 0.729
Zn 0.500 0.000 0.000
Zn 0.562 0.124 0.379
Zn 0.438 0.876 0.621
Sn 0.867 0.734 0.782
Sn 0.133 0.266 0.218

Which of them is most stable, and which least? Most stable: x; least stable: w.

w:
! Al2ReAs, optimized geometry, DFT PBE-GGA; values from VASP
! Symmetry ... No. 8
&SYSTEM
  ibrav = 0, nat = 4, ntyp = 3
/
ATOMIC_SPECIES
Re 186.21 Re.upf
As 74.92 As.upf
Al 26.98 Al.upf
CELL_PARAMETERS angstrom
-0.560 -4.604 0.905
1.620 -3.450 2.793
-3.092 0.410 3.318
ATOMIC_POSITIONS crystal
Re 0.246 0.246 0.244
As 0.521 0.521 0.478
Al 0.989 0.989 0.019
Al 0.744 0.744 0.759

x:
! Al2ReAs, optimized geometry, DFT PBE-GGA; values from VASP
! Symmetry ... No. 47
&SYSTEM
  ibrav = 0, nat = 4, ntyp = 3
/
ATOMIC_SPECIES
Re 186.21 Re.upf
As 74.92 As.upf
Al 26.98 Al.upf
CELL_PARAMETERS angstrom
-0.599 -2.290 2.300
-2.601 -2.141 -2.809
3.330 -2.247 -1.370
ATOMIC_POSITIONS crystal
Re 0.000 0.500 0.500
As 0.500 0.000 0.500
Al 0.000 0.000 0.000
Al 0.500 0.500 0.000

Which of them is most stable, and which least? Most stable: w; least stable: x.

w:
! YIr2Pt, optimized geometry, DFT PBE-GGA; values from VASP
! Symmetry ... No. 25
&SYSTEM
  ibrav = 0, nat = 4, ntyp = 3
/
ATOMIC_SPECIES
Ir 192.22 Ir.upf
Pt 195.08 Pt.upf
Y 88.91 Y.upf
CELL_PARAMETERS angstrom
2.937 0.000 0.000
0.000 3.977 0.000
0.000 0.000 5.980
ATOMIC_POSITIONS crystal
Ir 0.000 0.000 0.043
Ir 0.500 0.500 0.225
Pt 0.000 0.000 0.485
Y 0.500 0.500 0.748

x:
! YIr2Pt, optimized geometry, DFT PBE-GGA; values from VASP
! Symmetry ... No. 122
&SYSTEM
  ibrav = 0, nat = 8, ntyp = 3
/
ATOMIC_SPECIES
Y 88.91 Y.upf
Ir 192.22 Ir.upf
Pt 195.08 Pt.upf
CELL_PARAMETERS angstrom
4.087 0.000 0.000
0.000 4.087 0.000
2.044 2.044 9.490
ATOMIC_POSITIONS crystal
Y 0.500 0.500 0.000
Y 0.250 0.750 0.500
Ir 0.703 0.125 0.250
Ir 0.047 0.625 0.250
Ir 0.375 0.297 0.750
Ir 0.875 0.953 0.750
Pt 0.000 0.000 0.000
Pt 0.750 0.250 0.500

Which of them is most stable, and which least? Most stable: w; least stable: x.